--- P ---
DFT (PBE) results for crystalline Sr2HfSc2 at its relaxed geometry.

For the total magnetization, the calculation gives 0.06 μB/f.u. As for the crystal system: tetragonal.

a b c (Å): 9.007 9.007 3.849
angles (deg): 90.00 90.00 90.00
Atoms (fractional coordinates):
Sr  0.169  0.331  0.000
Sr  0.331  0.831  0.000
Sr  0.669  0.169  0.000
Sr  0.831  0.669  0.000
Hf  0.000  0.000  0.500
Hf  0.500  0.500  0.500
Sc  0.134  0.634  0.500
Sc  0.366  0.134  0.500
Sc  0.634  0.866  0.500
Sc  0.866  0.366  0.500

=====

--- Q ---
DFT (PBE) results for crystalline Sr2HfSc2 at its relaxed geometry.

For the total magnetization, the calculation gives 1.45 μB/f.u. As for the crystal system: tetragonal.

a b c (Å): 8.815 8.815 8.815
angles (deg): 151.13 151.13 41.28
Atoms (fractional coordinates):
Sr  0.250  0.750  0.500
Sr  0.750  0.250  0.500
Hf  0.000  0.000  0.000
Sc  0.418  0.418  0.000
Sc  0.582  0.582  0.000

=====

If you had to bet on the most stable structure above, which would it be? Bet on P.